The following is a DFT calculation (PBE+U) of VCO2 after structural relaxation.

Computed properties:
Total magnetic moment ... 1.1 μB/f.u.
Total DFT energy (no corrections) ... -6.4648 eV per atom

Structure (CIF):
```
data_VCO2
_chemical_formula_sum 'V3 C3 O6'
_space_group_name_H-M_alt 'R -3 m'
_space_group_IT_number 166
_space_group_name_Hall '-R 3 2"'
_cell_length_a 2.7547
_cell_length_b 2.7547
_cell_length_c 16.7044
_cell_angle_alpha 90.00
_cell_angle_beta 90.00
_cell_angle_gamma 120.00
loop_
_atom_site_label
_atom_site_type_symbol
_atom_site_fract_x
_atom_site_fract_y
_atom_site_fract_z
V1 V 0.0000 0.0000 0.0000
C1 C 0.0000 0.0000 0.5000
O1 O 0.0000 0.0000 0.4214
```